w | Compound: BeCo2O4
Source: Alexandria
Functional: SCAN
Structure: PBEsol geometry

Results
V = 7.99 Å³ per atom
Calculated density = 5.67 g/cm³
SG = No. 227
Total magnetic moment = 0.000 Bohr magnetons per cell
Density of states at the Fermi level = 0.00 states/eV/f.u.

```
data_BeCo2O4
_cell_length_a 5.4089
_cell_length_b 5.4089
_cell_length_c 5.4089
_cell_angle_alpha 60.00
_cell_angle_beta 60.00
_cell_angle_gamma 60.00
_space_group_name_H-M_alt 'P 1'
_space_group_IT_number 1
loop_
_space_group_symop_operation_xyz
'x,y,z'
loop_
_atom_site_label
_atom_site_type_symbol
_atom_site_fract_x
_atom_site_fract_y
_atom_site_fract_z
Be1 Be 0.5000 0.5000 0.5000
Be2 Be 0.7500 0.7500 0.7500
Co1 Co 0.1250 0.6250 0.1250
Co2 Co 0.6250 0.1250 0.1250
Co3 Co 0.1250 0.1250 0.6250
Co4 Co 0.1250 0.1250 0.1250
O1 O 0.8781 0.8781 0.8781
O2 O 0.3719 0.3719 0.8842
O3 O 0.3719 0.8842 0.3719
O4 O 0.8781 0.8781 0.3658
O5 O 0.3658 0.8781 0.8781
O6 O 0.3719 0.3719 0.3719
O7 O 0.8842 0.3719 0.3719
O8 O 0.8781 0.3658 0.8781
```


x | Compound: BeCo2O4
Source: Alexandria
Functional: SCAN
Structure: PBEsol geometry

Results
V = 8.28 Å³ per atom
Calculated density = 5.47 g/cm³
SG = No. 62
Total magnetic moment = 0.000 Bohr magnetons per cell
Density of states at the Fermi level = 0.00 states/eV/f.u.

```
data_BeCo2O4
_cell_length_a 2.8546
_cell_length_b 8.8855
_cell_length_c 9.1377
_cell_angle_alpha 90.00
_cell_angle_beta 90.00
_cell_angle_gamma 90.00
_space_group_name_H-M_alt 'P 1'
_space_group_IT_number 1
loop_
_space_group_symop_operation_xyz
'x,y,z'
loop_
_atom_site_label
_atom_site_type_symbol
_atom_site_fract_x
_atom_site_fract_y
_atom_site_fract_z
Be1 Be 0.2500 0.3566 0.1046
Be2 Be 0.7500 0.1434 0.6046
Be3 Be 0.2500 0.8566 0.3954
Be4 Be 0.7500 0.6434 0.8954
Co1 Co 0.2500 0.3690 0.7944
Co2 Co 0.2500 0.3831 0.4273
Co3 Co 0.7500 0.1169 0.9273
Co4 Co 0.7500 0.1310 0.2944
Co5 Co 0.2500 0.8690 0.7056
Co6 Co 0.2500 0.8831 0.0727
Co7 Co 0.7500 0.6169 0.5727
Co8 Co 0.7500 0.6310 0.2056
O1 O 0.2500 0.4820 0.6148
O2 O 0.2500 0.5260 0.1245
O3 O 0.7500 0.2332 0.7480
O4 O 0.2500 0.2522 0.9681
O5 O 0.7500 0.2478 0.4681
O6 O 0.2500 0.2668 0.2480
O7 O 0.7500 0.9740 0.6245
O8 O 0.7500 0.0180 0.1148
O9 O 0.2500 0.9820 0.8852
O10 O 0.2500 0.0260 0.3755
O11 O 0.7500 0.7332 0.7520
O12 O 0.2500 0.7522 0.5319
O13 O 0.7500 0.7478 0.0319
O14 O 0.2500 0.7668 0.2520
O15 O 0.7500 0.4740 0.8755
O16 O 0.7500 0.5180 0.3852
```


w has the most favorable energy; the next structure is 0.092 eV/atom above.


w | Compound: BeCo2P
Source: Alexandria
Functional: SCAN
Structure: PBEsol geometry

Results
V = 9.21 Å³ per atom
Calculated density = 7.12 g/cm³
SG = No. 123
Total magnetic moment = 0.000 Bohr magnetons per cell
Density of states at the Fermi level = 1.36 states/eV/f.u.

```
data_BeCo2P
_cell_length_a 2.9558
_cell_length_b 3.5302
_cell_length_c 3.5302
_cell_angle_alpha 90.00
_cell_angle_beta 90.00
_cell_angle_gamma 90.00
_space_group_name_H-M_alt 'P 1'
_space_group_IT_number 1
loop_
_space_group_symop_operation_xyz
'x,y,z'
loop_
_atom_site_label
_atom_site_type_symbol
_atom_site_fract_x
_atom_site_fract_y
_atom_site_fract_z
P1 P 0.5000 0.5000 0.5000
Co1 Co 0.0000 0.0000 0.5000
Co2 Co 0.0000 0.5000 0.0000
Be1 Be 0.5000 0.0000 0.0000
```


x | Compound: BeCo2P
Source: Alexandria
Functional: SCAN
Structure: PBEsol geometry

Results
V = 9.60 Å³ per atom
Calculated density = 6.83 g/cm³
SG = No. 12
Total magnetic moment = 1.095 Bohr magnetons per cell
Density of states at the Fermi level = 2.17 states/eV/f.u.

```
data_BeCo2P
_cell_length_a 2.5608
_cell_length_b 3.7880
_cell_length_c 4.2757
_cell_angle_alpha 99.82
_cell_angle_beta 90.00
_cell_angle_gamma 109.76
_space_group_name_H-M_alt 'P 1'
_space_group_IT_number 1
loop_
_space_group_symop_operation_xyz
'x,y,z'
loop_
_atom_site_label
_atom_site_type_symbol
_atom_site_fract_x
_atom_site_fract_y
_atom_site_fract_z
P1 P 0.0000 0.0000 0.5000
Co1 Co 0.7449 0.4898 0.7472
Co2 Co 0.2551 0.5102 0.2528
Be1 Be 0.5000 0.0000 0.0000
```


y | Compound: BeCo2P
Source: Alexandria
Functional: SCAN
Structure: PBEsol geometry

Results
V = 9.09 Å³ per atom
Calculated density = 7.21 g/cm³
SG = No. 71
Total magnetic moment = 0.002 Bohr magnetons per cell
Density of states at the Fermi level = 1.26 states/eV/f.u.

```
data_BeCo2P
_cell_length_a 3.5478
_cell_length_b 3.8254
_cell_length_c 3.5520
_cell_angle_alpha 117.66
_cell_angle_beta 90.00
_cell_angle_gamma 117.63
_space_group_name_H-M_alt 'P 1'
_space_group_IT_number 1
loop_
_space_group_symop_operation_xyz
'x,y,z'
loop_
_atom_site_label
_atom_site_type_symbol
_atom_site_fract_x
_atom_site_fract_y
_atom_site_fract_z
P1 P 0.5000 0.0000 0.0000
Co1 Co 0.7522 0.5044 0.7522
Co2 Co 0.2478 0.4956 0.2478
Be1 Be 0.0000 0.0000 0.5000
```


y has the most favorable energy; the next structure is 0.020 eV/atom above.


w | Compound: BeCoP
Source: Alexandria
Functional: SCAN
Structure: PBEsol geometry

Results
V = 10.39 Å³ per atom
Calculated density = 5.27 g/cm³
SG = No. 216
Total magnetic moment = 1.401 Bohr magnetons per cell
Density of states at the Fermi level = 1.76 states/eV/f.u.

```
data_BeCoP
_cell_length_a 3.5322
_cell_length_b 3.5322
_cell_length_c 3.5322
_cell_angle_alpha 60.00
_cell_angle_beta 60.00
_cell_angle_gamma 60.00
_space_group_name_H-M_alt 'P 1'
_space_group_IT_number 1
loop_
_space_group_symop_operation_xyz
'x,y,z'
loop_
_atom_site_label
_atom_site_type_symbol
_atom_site_fract_x
_atom_site_fract_y
_atom_site_fract_z
P1 P 0.5000 0.5000 0.5000
Co1 Co 0.0000 0.0000 0.0000
Be1 Be 0.2500 0.2500 0.2500
```


x | Compound: BeCoP
Source: Alexandria
Functional: SCAN
Structure: PBEsol geometry

Results
V = 10.87 Å³ per atom
Calculated density = 5.04 g/cm³
SG = No. 216
Total magnetic moment = 0.001 Bohr magnetons per cell
Density of states at the Fermi level = 2.08 states/eV/f.u.

```
data_BeCoP
_cell_length_a 3.5860
_cell_length_b 3.5860
_cell_length_c 3.5860
_cell_angle_alpha 60.00
_cell_angle_beta 60.00
_cell_angle_gamma 60.00
_space_group_name_H-M_alt 'P 1'
_space_group_IT_number 1
loop_
_space_group_symop_operation_xyz
'x,y,z'
loop_
_atom_site_label
_atom_site_type_symbol
_atom_site_fract_x
_atom_site_fract_y
_atom_site_fract_z
P1 P 0.0000 0.0000 0.0000
Co1 Co 0.2500 0.2500 0.2500
Be1 Be 0.5000 0.5000 0.5000
```


x has the most favorable energy; the next structure is 0.253 eV/atom above.


w | Compound: BeCoRe
Source: Alexandria
Functional: SCAN
Structure: PBEsol geometry

Results
V = 11.58 Å³ per atom
Calculated density = 12.15 g/cm³
SG = No. 156
Total magnetic moment = 1.624 Bohr magnetons per cell
Density of states at the Fermi level = 1.16 states/eV/f.u.

```
data_BeCoRe
_cell_length_a 2.6160
_cell_length_b 2.6160
_cell_length_c 5.8617
_cell_angle_alpha 90.00
_cell_angle_beta 90.00
_cell_angle_gamma 120.00
_space_group_name_H-M_alt 'P 1'
_space_group_IT_number 1
loop_
_space_group_symop_operation_xyz
'x,y,z'
loop_
_atom_site_label
_atom_site_type_symbol
_atom_site_fract_x
_atom_site_fract_y
_atom_site_fract_z
Re1 Re 0.6667 0.3333 0.3344
Co1 Co 0.3333 0.6667 0.6811
Be1 Be 0.0000 0.0000 0.9844
```


x | Compound: BeCoRe
Source: Alexandria
Functional: SCAN
Structure: PBEsol geometry

Results
V = 10.40 Å³ per atom
Calculated density = 13.52 g/cm³
SG = No. 74
Total magnetic moment = 0.001 Bohr magnetons per cell
Density of states at the Fermi level = 2.41 states/eV/f.u.

```
data_BeCoRe
_cell_length_a 4.4157
_cell_length_b 4.4327
_cell_length_c 4.4327
_cell_angle_alpha 62.17
_cell_angle_beta 60.13
_cell_angle_gamma 60.13
_space_group_name_H-M_alt 'P 1'
_space_group_IT_number 1
loop_
_space_group_symop_operation_xyz
'x,y,z'
loop_
_atom_site_label
_atom_site_type_symbol
_atom_site_fract_x
_atom_site_fract_y
_atom_site_fract_z
Re1 Re 0.6213 0.1287 0.6287
Re2 Re 0.3787 0.8713 0.3713
Co1 Co 0.0000 0.0000 0.0000
Co2 Co 0.0000 0.5000 0.5000
Be1 Be 0.0000 0.5000 0.0000
Be2 Be 0.5000 0.5000 0.0000
```


x has the most favorable energy; the next structure is 0.374 eV/atom above.


w | Compound: Be3CoRe
Source: Alexandria
Functional: SCAN
Structure: PBEsol geometry

Results
V = 10.40 Å³ per atom
Calculated density = 8.69 g/cm³
SG = No. 221
Total magnetic moment = 0.015 Bohr magnetons per cell
Density of states at the Fermi level = 1.04 states/eV/f.u.

```
data_Be3CoRe
_cell_length_a 3.7327
_cell_length_b 3.7327
_cell_length_c 3.7327
_cell_angle_alpha 90.00
_cell_angle_beta 90.00
_cell_angle_gamma 90.00
_space_group_name_H-M_alt 'P 1'
_space_group_IT_number 1
loop_
_space_group_symop_operation_xyz
'x,y,z'
loop_
_atom_site_label
_atom_site_type_symbol
_atom_site_fract_x
_atom_site_fract_y
_atom_site_fract_z
Re1 Re 0.5000 0.5000 0.5000
Co1 Co 0.0000 0.0000 0.0000
Be1 Be 0.0000 0.5000 0.0000
Be2 Be 0.0000 0.0000 0.5000
Be3 Be 0.5000 0.0000 0.0000
```


x | Compound: Be3CoRe
Source: Alexandria
Functional: SCAN
Structure: PBEsol geometry

Results
V = 14.04 Å³ per atom
Calculated density = 6.44 g/cm³
SG = No. 221
Total magnetic moment = 2.096 Bohr magnetons per cell
Density of states at the Fermi level = 2.54 states/eV/f.u.

```
data_Be3CoRe
_cell_length_a 4.1247
_cell_length_b 4.1247
_cell_length_c 4.1247
_cell_angle_alpha 90.00
_cell_angle_beta 90.00
_cell_angle_gamma 90.00
_space_group_name_H-M_alt 'P 1'
_space_group_IT_number 1
loop_
_space_group_symop_operation_xyz
'x,y,z'
loop_
_atom_site_label
_atom_site_type_symbol
_atom_site_fract_x
_atom_site_fract_y
_atom_site_fract_z
Re1 Re 0.0000 0.0000 0.0000
Co1 Co 0.5000 0.5000 0.5000
Be1 Be 0.0000 0.5000 0.0000
Be2 Be 0.0000 0.0000 0.5000
Be3 Be 0.5000 0.0000 0.0000
```


w has the most favorable energy; the next structure is 0.566 eV/atom above.


w | Compound: BeCoSi
Source: Alexandria
Functional: SCAN
Structure: PBEsol geometry

Results
V = 9.74 Å³ per atom
Calculated density = 5.46 g/cm³
SG = No. 156
Total magnetic moment = 0.004 Bohr magnetons per cell
Density of states at the Fermi level = 0.97 states/eV/f.u.

```
data_BeCoSi
_cell_length_a 2.4795
_cell_length_b 3.6885
_cell_length_c 3.6885
_cell_angle_alpha 120.00
_cell_angle_beta 90.00
_cell_angle_gamma 90.00
_space_group_name_H-M_alt 'P 1'
_space_group_IT_number 1
loop_
_space_group_symop_operation_xyz
'x,y,z'
loop_
_atom_site_label
_atom_site_type_symbol
_atom_site_fract_x
_atom_site_fract_y
_atom_site_fract_z
Be1 Be 0.0112 0.0000 0.0000
Si1 Si 0.3069 0.6667 0.3333
Co1 Co 0.6818 0.3333 0.6667
```


x | Compound: BeCoSi
Source: Alexandria
Functional: SCAN
Structure: PBEsol geometry

Results
V = 9.64 Å³ per atom
Calculated density = 5.52 g/cm³
SG = No. 44
Total magnetic moment = 0.264 Bohr magnetons per cell
Density of states at the Fermi level = 0.96 states/eV/f.u.

```
data_BeCoSi
_cell_length_a 2.6408
_cell_length_b 3.0839
_cell_length_c 4.0898
_cell_angle_alpha 112.15
_cell_angle_beta 108.84
_cell_angle_gamma 90.00
_space_group_name_H-M_alt 'P 1'
_space_group_IT_number 1
loop_
_space_group_symop_operation_xyz
'x,y,z'
loop_
_atom_site_label
_atom_site_type_symbol
_atom_site_fract_x
_atom_site_fract_y
_atom_site_fract_z
Be1 Be 0.0045 0.0045 0.0091
Si1 Si 0.3312 0.3312 0.6624
Co1 Co 0.6643 0.6643 0.3285
```


x has the most favorable energy; the next structure is 0.262 eV/atom above.


w | Compound: Be2CoTc
Source: Alexandria
Functional: SCAN
Structure: PBEsol geometry

Results
V = 10.30 Å³ per atom
Calculated density = 7.05 g/cm³
SG = No. 122
Total magnetic moment = 0.001 Bohr magnetons per cell
Density of states at the Fermi level = 2.94 states/eV/f.u.

```
data_Be2CoTc
_cell_length_a 4.7856
_cell_length_b 4.7856
_cell_length_c 4.7856
_cell_angle_alpha 104.69
_cell_angle_beta 104.69
_cell_angle_gamma 119.52
_space_group_name_H-M_alt 'P 1'
_space_group_IT_number 1
loop_
_space_group_symop_operation_xyz
'x,y,z'
loop_
_atom_site_label
_atom_site_type_symbol
_atom_site_fract_x
_atom_site_fract_y
_atom_site_fract_z
Be1 Be 0.8520 0.8750 0.4770
Be2 Be 0.3980 0.3750 0.5230
Be3 Be 0.1250 0.6020 0.9770
Be4 Be 0.6250 0.1480 0.0230
Co1 Co 0.5000 0.5000 0.0000
Co2 Co 0.7500 0.2500 0.5000
Tc1 Tc 0.0000 0.0000 0.0000
Tc2 Tc 0.2500 0.7500 0.5000
```


x | Compound: Be2CoTc
Source: Alexandria
Functional: SCAN
Structure: PBEsol geometry

Results
V = 9.64 Å³ per atom
Calculated density = 7.53 g/cm³
SG = No. 123
Total magnetic moment = 0.000 Bohr magnetons per cell
Density of states at the Fermi level = 2.24 states/eV/f.u.

```
data_Be2CoTc
_cell_length_a 2.6184
_cell_length_b 2.6184
_cell_length_c 5.6250
_cell_angle_alpha 90.00
_cell_angle_beta 90.00
_cell_angle_gamma 90.00
_space_group_name_H-M_alt 'P 1'
_space_group_IT_number 1
loop_
_space_group_symop_operation_xyz
'x,y,z'
loop_
_atom_site_label
_atom_site_type_symbol
_atom_site_fract_x
_atom_site_fract_y
_atom_site_fract_z
Be1 Be 0.0000 0.0000 0.7937
Be2 Be 0.0000 0.0000 0.2063
Co1 Co 0.5000 0.5000 0.0000
Tc1 Tc 0.5000 0.5000 0.5000
```


x has the most favorable energy; the next structure is 0.449 eV/atom above.


w | Compound: BeTlCo2
Source: Alexandria
Functional: SCAN
Structure: PBEsol geometry

Results
V = 13.79 Å³ per atom
Calculated density = 9.97 g/cm³
SG = No. 166
Total magnetic moment = 2.684 Bohr magnetons per cell
Density of states at the Fermi level = 1.94 states/eV/f.u.

```
data_BeTlCo2
_cell_length_a 3.7858
_cell_length_b 3.7858
_cell_length_c 4.9529
_cell_angle_alpha 67.53
_cell_angle_beta 67.53
_cell_angle_gamma 60.00
_space_group_name_H-M_alt 'P 1'
_space_group_IT_number 1
loop_
_space_group_symop_operation_xyz
'x,y,z'
loop_
_atom_site_label
_atom_site_type_symbol
_atom_site_fract_x
_atom_site_fract_y
_atom_site_fract_z
Be1 Be 0.0000 0.0000 0.0000
Tl1 Tl 0.5000 0.5000 0.5000
Co1 Co 0.3040 0.3040 0.0881
Co2 Co 0.6960 0.6960 0.9119
```


x | Compound: BeTlCo2
Source: Alexandria
Functional: SCAN
Structure: PBEsol geometry

Results
V = 14.39 Å³ per atom
Calculated density = 9.56 g/cm³
SG = No. 122
Total magnetic moment = 5.619 Bohr magnetons per cell
Density of states at the Fermi level = 2.53 states/eV/f.u.

```
data_BeTlCo2
_cell_length_a 3.7583
_cell_length_b 3.7583
_cell_length_c 8.5720
_cell_angle_alpha 102.66
_cell_angle_beta 102.66
_cell_angle_gamma 90.00
_space_group_name_H-M_alt 'P 1'
_space_group_IT_number 1
loop_
_space_group_symop_operation_xyz
'x,y,z'
loop_
_atom_site_label
_atom_site_type_symbol
_atom_site_fract_x
_atom_site_fract_y
_atom_site_fract_z
Be1 Be 0.7500 0.2500 0.5000
Be2 Be 0.5000 0.5000 0.0000
Tl1 Tl 0.2500 0.7500 0.5000
Tl2 Tl 0.0000 0.0000 0.0000
Co1 Co 0.7702 0.8750 0.2500
Co2 Co 0.4798 0.3750 0.2500
Co3 Co 0.1250 0.5202 0.7500
Co4 Co 0.6250 0.2298 0.7500
```


w has the most favorable energy; the next structure is 0.344 eV/atom above.